# 1
Material: Pr2SmGe4Pt3
Method: DFT, PBE-GGA
State: optimized geometry

Cell lengths 4.357, 4.357, 11.356 Å; angles 90.00, 90.00, 90.00 degrees
Fractional coordinates of all 10 atoms:
Pr1 0.000 0.500 0.228
Pr2 0.500 0.000 0.772
Sm1 0.000 0.000 0.500
Ge1 0.000 0.000 0.000
Ge2 0.000 0.500 0.667
Ge3 0.500 0.000 0.333
Ge4 0.500 0.500 0.000
Pt1 0.000 0.500 0.886
Pt2 0.500 0.000 0.114
Pt3 0.500 0.500 0.500

Properties
crystal system = tetragonal
energy of formation from the pure elements = -882 meV/atom
SG = P-4m2

=====

# 2
Material: Tc2AsBr
Method: DFT, PBE-GGA
State: optimized geometry

Cell lengths 2.976, 2.976, 8.596 Å; angles 90.00, 90.00, 90.00 degrees
Fractional coordinates of all 4 atoms:
Tc1 0.000 0.000 0.000
Tc2 0.500 0.500 0.195
As1 0.000 0.000 0.388
Br1 0.500 0.500 0.797

Properties
crystal system = tetragonal
raw formation energy = 120 meV per atom
SG = P4mm

=====

# 3
Material: Ge2Pd2C
Method: DFT, PBE-GGA
State: optimized geometry

Cell lengths 3.860, 3.860, 11.223 Å; angles 90.00, 90.00, 90.00 degrees
Fractional coordinates of all 10 atoms:
Ge1 0.000 0.000 0.106
Ge2 0.000 0.000 0.894
Ge3 0.500 0.500 0.394
Ge4 0.500 0.500 0.606
Pd1 0.000 0.500 0.250
Pd2 0.000 0.500 0.750
Pd3 0.500 0.000 0.250
Pd4 0.500 0.000 0.750
C1 0.000 0.000 0.500
C2 0.500 0.500 0.000

Properties
crystal system = tetragonal
energy of formation from the pure elements = 964 meV/atom
SG = I4/mmm

=====

# 4
Material: Nb2TlBi
Method: DFT, PBE-GGA
State: optimized geometry

Cell lengths 6.969, 6.969, 6.969 Å; angles 90.00, 90.00, 90.00 degrees
Fractional coordinates of all 16 atoms:
Nb1 0.250 0.250 0.250
Nb2 0.250 0.250 0.750
Nb3 0.250 0.750 0.250
Nb4 0.250 0.750 0.750
Nb5 0.750 0.250 0.250
Nb6 0.750 0.250 0.750
Nb7 0.750 0.750 0.250
Nb8 0.750 0.750 0.750
Tl1 0.000 0.000 0.000
Tl2 0.000 0.500 0.500
Tl3 0.500 0.000 0.500
Tl4 0.500 0.500 0.000
Bi1 0.000 0.000 0.500
Bi2 0.000 0.500 0.000
Bi3 0.500 0.000 0.000
Bi4 0.500 0.500 0.500

Properties
crystal system = cubic
energy of formation from the pure elements = 485 meV/atom
SG = Fm-3m

=====

# 5
Material: CoBAsBr2
Method: DFT, PBE-GGA
State: optimized geometry

Cell lengths 4.609, 4.609, 4.503 Å; angles 90.00, 90.00, 90.00 degrees
Fractional coordinates of all 5 atoms:
Co1 0.000 0.000 0.000
B1 0.500 0.500 0.500
As1 0.500 0.500 0.000
Br1 0.000 0.500 0.500
Br2 0.500 0.000 0.500

Properties
crystal system = tetragonal
raw formation energy = 1161 meV per atom
SG = P4/mmm

=====

# 6
Material: Li4Ge
Method: DFT, PBE-GGA
State: optimized geometry

Cell lengths 7.595, 7.595, 7.595 Å; angles 146.31, 138.10, 54.80 degrees
Fractional coordinates of all 10 atoms:
Li1 0.000 0.000 0.000
Li2 0.162 0.412 0.750
Li3 0.223 0.200 0.022
Li4 0.322 0.800 0.522
Li5 0.500 0.000 0.500
Li6 0.678 0.200 0.478
Li7 0.777 0.800 0.978
Li8 0.838 0.588 0.250
Ge1 0.364 0.614 0.750
Ge2 0.636 0.386 0.250

Properties
crystal system = orthorhombic
energy of formation from the pure elements = -226 meV/atom
SG = Imma

=====

# 7
Material: La2TiZnO
Method: DFT, PBE-GGA
State: optimized geometry

Cell lengths 5.250, 5.250, 3.983 Å; angles 90.00, 90.00, 90.00 degrees
Fractional coordinates of all 5 atoms:
La1 0.000 0.500 0.000
La2 0.500 0.000 0.000
Ti1 0.000 0.000 0.500
Zn1 0.500 0.500 0.500
O1 0.000 0.000 0.000

Properties
crystal system = tetragonal
raw formation energy = -1183 meV per atom
SG = P4/mmm

=====

# 8
Material: Ho2SbS6
Method: DFT, PBE-GGA
State: optimized geometry

Cell lengths 6.510, 6.914, 10.578 Å; angles 90.00, 121.30, 90.00 degrees
Fractional coordinates of all 18 atoms:
Ho1 0.184 0.108 0.232
Ho2 0.184 0.392 0.732
Ho3 0.816 0.608 0.268
Ho4 0.816 0.892 0.768
Sb1 0.500 0.000 0.000
Sb2 0.500 0.500 0.500
S1 0.126 0.185 0.941
S2 0.126 0.315 0.441
S3 0.251 0.687 0.932
S4 0.251 0.813 0.432
S5 0.405 0.048 0.743
S6 0.405 0.452 0.243
S7 0.595 0.548 0.757
S8 0.595 0.952 0.257
S9 0.749 0.187 0.568
S10 0.749 0.313 0.068
S11 0.874 0.685 0.559
S12 0.874 0.815 0.059

Properties
crystal system = monoclinic
raw formation energy = -1017 meV per atom
SG = P2_1/c

=====

What did the fourth record say?
Material: Nb2TlBi
Method: DFT, PBE-GGA
State: optimized geometry

Cell lengths 6.969, 6.969, 6.969 Å; angles 90.00, 90.00, 90.00 degrees
Fractional coordinates of all 16 atoms:
Nb1 0.250 0.250 0.250
Nb2 0.250 0.250 0.750
Nb3 0.250 0.750 0.250
Nb4 0.250 0.750 0.750
Nb5 0.750 0.250 0.250
Nb6 0.750 0.250 0.750
Nb7 0.750 0.750 0.250
Nb8 0.750 0.750 0.750
Tl1 0.000 0.000 0.000
Tl2 0.000 0.500 0.500
Tl3 0.500 0.000 0.500
Tl4 0.500 0.500 0.000
Bi1 0.000 0.000 0.500
Bi2 0.000 0.500 0.000
Bi3 0.500 0.000 0.000
Bi4 0.500 0.500 0.500

Properties
crystal system = cubic
energy of formation from the pure elements = 485 meV/atom
SG = Fm-3m